Record 1
# NpNbGe

A relaxed structure of NpNbGe (PBE, the Alexandria database).

Magnetic moment: 6.592 Bohr magnetons per cell

Cell: 2.796 2.799 15.180 Å, 90.00 90.00 90.00°
Space group Imm2 (No. 44)
Symmetry-distinct sites (fractional):
Np 0.000 0.000 0.000 [2 per cell]
Nb 0.000 0.500 0.684 [2 per cell]
Ge 0.000 0.500 0.319 [2 per cell]



Record 2
# Np2Nb3Ge4

A relaxed structure of Np2Nb3Ge4 (PBE, the Alexandria database).

Magnetic moment: 14.780 Bohr magnetons per cell

Cell: 7.178 7.179 7.054 Å, 90.00 109.96 90.00°
Space group P2_1/c (No. 14)
Symmetry-distinct sites (fractional):
Np 0.179 0.163 0.056 [4 per cell]
Nb 0.252 0.673 0.249 [4 per cell]
Nb 0.500 0.000 0.500 [2 per cell]
Ge 0.087 0.539 0.863 [4 per cell]
Ge 0.490 0.134 0.863 [4 per cell]



Record 3
# NpNb2Ge

A relaxed structure of NpNb2Ge (PBE, the Alexandria database).

Magnetic moment: 9.849 Bohr magnetons per cell

Cell: 2.9269 2.9269 30.9880 Å, 90.00 90.00 120.00°
Space group R-3m (No. 166, hexagonal axes)
Symmetry-distinct sites (fractional):
Np 0.0000 0.0000 0.0000 [3 per cell]
Nb 0.0000 0.0000 0.0940 [6 per cell]
Ge 0.0000 0.0000 0.5000 [3 per cell]



Record 4
# Nb2Ge2O7

A relaxed structure of Nb2Ge2O7 (PBE, the Alexandria database).

Magnetic moment: 0.000 Bohr magnetons per cell
ΔE_f (raw): -1.97 eV per atom

Cell: 3.951 26.760 5.847 Å, 90.00 90.00 90.00°
Space group Cmc2_1 (No. 36)
Symmetry-distinct sites (fractional):
Nb 0.000 0.057 0.000 [4 per cell]
Nb 0.000 0.161 0.475 [4 per cell]
Ge 0.000 0.284 0.414 [4 per cell]
Ge 0.000 0.435 0.065 [4 per cell]
O 0.000 0.007 0.218 [4 per cell]
O 0.000 0.093 0.659 [4 per cell]
O 0.000 0.114 0.181 [4 per cell]
O 0.000 0.203 0.742 [4 per cell]
O 0.000 0.220 0.277 [4 per cell]
O 0.000 0.351 0.995 [4 per cell]
O 0.000 0.443 0.407 [4 per cell]



Record 5
# NbGe3O

A relaxed structure of NbGe3O (PBE, the Alexandria database).

ΔE to the lowest computed polymorph: 3.705 eV/f.u.
Magnetic moment: 1.811 Bohr magnetons per cell
ΔE_f (raw): 0.79 eV per atom

Cell: 5.006 5.006 5.006 Å, 90.00 90.00 90.00°
Space group Pm-3m (No. 221)
Symmetry-distinct sites (fractional):
Nb 0.000 0.000 0.000 [1 per cell]
Ge 0.000 0.000 0.500 [3 per cell]
O 0.500 0.500 0.500 [1 per cell]



Record 6
# NbGe2O6

A relaxed structure of NbGe2O6 (PBE, the Alexandria database).

Magnetic moment: 3.618 Bohr magnetons per cell
ΔE_f (raw): -1.81 eV per atom

Cell: 10.303 9.327 5.738 Å, 90.00 109.88 90.00°
Space group C2/c (No. 15)
Symmetry-distinct sites (fractional):
Nb 0.000 0.104 0.250 [4 per cell]
Ge 0.200 0.417 0.257 [8 per cell]
O 0.113 0.064 0.623 [8 per cell]
O 0.134 0.483 0.952 [8 per cell]
O 0.146 0.236 0.242 [8 per cell]



Computed values of final energy (unit: eV per atom) for the preceding records, in sequence: -8.865; -8.698; -9.056; -7.794; -4.990; -7.263.